[1]
This record from the Alexandria database describes crystalline Pr2Dy2Hg at its relaxed geometry. The functional is PBE-GGA.

Computed properties:
Relative energy among the computed polymorphs in meV per atom: 0
E_form in kcal/mol of atoms: -4.2

Lattice parameters (Å, degrees): 3.6595 3.6595 11.9040 98.84 98.84 90.00
With the nearest neighbours (Å) after each atom.
Fractional coordinates of all 5 atoms:
Hg 0.0000 0.0000 0.0000  8 Dy 3.23
Dy 0.5830 0.5830 0.1660  4 Hg 3.23
Dy 0.4170 0.4170 0.8340  4 Hg 3.23
Pr 0.1925 0.1925 0.3851  4 Dy 3.63, 8 Pr 3.66-3.72
Pr 0.8075 0.8075 0.6149  4 Dy 3.63, 8 Pr 3.66-3.72

[2]
This record from the Alexandria database describes crystalline Be2MoAu at its relaxed geometry. The functional is PBE-GGA.

Computed properties:
Relative energy among the computed polymorphs in meV per atom: 350
E_form in kcal/mol of atoms: 8.2

Lattice parameters (Å, degrees): 4.8802 4.8802 4.8802 146.30 121.48 69.26
With the nearest neighbours (Å) after each atom.
Fractional coordinates of all 4 atoms:
Be 0.0090 0.0090 0.0000  2 Au 2.40, 2 Mo 2.52
Be 0.4910 0.4910 0.0000  2 Au 2.40, 2 Mo 2.52
Au 0.2500 0.7500 0.5000  4 Be 2.40
Mo 0.7500 0.2500 0.5000  4 Be 2.52, 4 Au 2.77

[3]
This record from the Alexandria database describes crystalline Hf5Si3 at its relaxed geometry. The functional is PBE-GGA.

Computed properties:
Relative energy among the computed polymorphs in meV per atom: 38
E_form (uncorrected) in eV/atom: -0.712

Lattice parameters (Å, degrees): 6.9005 6.9005 7.8814 115.96 115.96 90.00
With the nearest neighbours (Å) after each atom.
Fractional coordinates of all 16 atoms:
Hf 0.9861 0.8127 0.2988  5 Si 2.73-2.87, 1 Hf 3.01
Hf 0.5000 0.5000 0.0000  4 Si 2.70
Hf 0.1873 0.6873 0.7012  5 Si 2.73-2.87, 1 Hf 3.01
Hf 0.3127 0.4861 0.2988  5 Si 2.73-2.87, 1 Hf 3.01
Hf 0.6873 0.5139 0.7012  5 Si 2.73-2.87, 1 Hf 3.01
Hf 0.0000 0.0000 0.0000  4 Si 2.70
Hf 0.4861 0.9861 0.2988  5 Si 2.73-2.87, 1 Hf 3.01
Hf 0.5139 0.0139 0.7012  5 Si 2.73-2.87, 1 Hf 3.01
Hf 0.8127 0.3127 0.2988  5 Si 2.73-2.87, 1 Hf 3.01
Hf 0.0139 0.1873 0.7012  5 Si 2.73-2.87, 1 Hf 3.01
Si 0.7500 0.7500 0.5000  10 Hf 2.87-3.09
Si 0.6305 0.8695 0.0000  1 Si 2.55, 8 Hf 2.70-2.75
Si 0.3695 0.1305 0.0000  1 Si 2.55, 8 Hf 2.70-2.75
Si 0.1305 0.6305 0.0000  1 Si 2.55, 8 Hf 2.70-2.75
Si 0.8695 0.3695 0.0000  1 Si 2.55, 8 Hf 2.70-2.75
Si 0.2500 0.2500 0.5000  10 Hf 2.87-3.09

[4]
This record from the Alexandria database describes crystalline La2ZnPb at its relaxed geometry. The functional is PBE-GGA.

Computed properties:
E_form in kcal/mol of atoms: -10.2

Lattice parameters (Å, degrees): 5.2755 4.2655 5.2743 90.01 90.00 90.00
With the nearest neighbours (Å) after each atom.
Fractional coordinates of all 4 atoms:
Zn 0.5000 0.6251 0.8747  8 La 3.39, 4 Pb 3.73
La 0.0000 0.1256 0.8752  4 Pb 3.39, 4 Zn 3.39, 4 La 3.73
La 0.5000 0.1243 0.3744  4 Zn 3.39, 4 Pb 3.39, 4 La 3.73
Pb 0.0000 0.6250 0.3756  8 La 3.39, 4 Zn 3.73

[5]
This record from the Alexandria database describes crystalline Sc2FeAs at its relaxed geometry. The functional is PBE-GGA.

Computed properties:
E_form in kcal/mol of atoms: 1.2

Lattice parameters (Å, degrees): 8.1895 8.1895 8.1895 25.27 25.27 25.27
With the nearest neighbours (Å) after each atom.
Fractional coordinates of all 4 atoms:
Sc 0.0974 0.0974 0.0974  1 Fe 2.32
Sc 0.9026 0.9026 0.9026  1 Fe 2.32
As 0.5000 0.5000 0.5000  6 Sc 2.64
Fe 0.0000 0.0000 0.0000  2 Sc 2.32

[6]
This record from the Alexandria database describes crystalline Nd3Cd2Rh at its relaxed geometry. The functional is PBE-GGA.

Computed properties:
Relative energy among the computed polymorphs in meV per atom: 0
E_form in kcal/mol of atoms: -9.8

Lattice parameters (Å, degrees): 5.2236 8.3134 7.6907 90.00 90.00 71.62
With the nearest neighbours (Å) after each atom.
Fractional coordinates of all 12 atoms:
Nd 0.1745 0.6505 0.7774  3 Rh 3.14-3.26, 5 Cd 3.25-3.49, 1 Nd 3.42
Nd 0.8256 0.3495 0.7773  3 Rh 3.14-3.26, 5 Cd 3.25-3.49, 1 Nd 3.42
Nd 0.1744 0.6505 0.2227  3 Rh 3.14-3.26, 5 Cd 3.25-3.49, 1 Nd 3.42
Nd 0.5000 0.0000 0.7637  2 Rh 2.98, 6 Cd 3.18-3.31
Nd 0.5000 0.0000 0.2363  2 Rh 2.98, 6 Cd 3.18-3.31
Nd 0.8255 0.3495 0.2226  3 Rh 3.14-3.26, 5 Cd 3.25-3.49, 1 Nd 3.42
Rh 0.3538 0.2990 0.0000  8 Nd 2.98-3.26
Rh 0.6462 0.7010 0.0000  8 Nd 2.98-3.26
Cd 0.3351 0.3312 0.5000  8 Nd 3.30-3.38, 1 Cd 3.69
Cd 0.0000 0.0000 0.0000  8 Nd 3.18-3.25, 4 Rh 3.50-3.53
Cd 0.0000 0.0000 0.5000  8 Nd 3.31-3.49, 4 Cd 3.69-3.70
Cd 0.6649 0.6688 0.5000  8 Nd 3.30-3.38, 1 Cd 3.69

[7]
This record from the Alexandria database describes crystalline TbPmDy2Te6 at its relaxed geometry. The functional is PBE-GGA.

Computed properties:
E_form (uncorrected) in eV/atom: -1.368

Lattice parameters (Å, degrees): 7.7554 7.7553 8.3594 62.37 62.37 60.00
With the nearest neighbours (Å) after each atom.
Fractional coordinates of all 10 atoms:
Te 0.4050 0.7318 0.7506  2 Dy 3.06-3.11, 1 Tb 3.12, 1 Pm 3.13
Te 0.1126 0.4050 0.7506  2 Dy 3.06-3.11, 1 Tb 3.12, 1 Pm 3.13
Te 0.6046 0.2343 0.2482  2 Dy 3.07-3.11, 1 Tb 3.08, 1 Pm 3.19
Te 0.2343 0.9129 0.2482  2 Dy 3.07-3.11, 1 Tb 3.08, 1 Pm 3.19
Te 0.9129 0.6045 0.2482  2 Dy 3.07-3.11, 1 Tb 3.08, 1 Pm 3.19
Te 0.7318 0.1126 0.7506  2 Dy 3.06-3.11, 1 Tb 3.12, 1 Pm 3.13
Dy 0.0081 0.0080 0.9758  6 Te 3.06-3.11
Dy 0.5094 0.5094 0.4718  6 Te 3.07-3.11
Tb 0.3224 0.3224 0.0329  6 Te 3.08-3.12
Pm 0.8206 0.8206 0.5383  6 Te 3.13-3.19

[8]
This record from the Alexandria database describes crystalline TcNi2Pt at its relaxed geometry. The functional is PBE-GGA.

Computed properties:
Relative energy among the computed polymorphs in meV per atom: 62
E_form in kcal/mol of atoms: -0.4

Lattice parameters (Å, degrees): 8.5893 8.5893 8.5893 17.99 17.99 17.99
With the nearest neighbours (Å) after each atom.
Fractional coordinates of all 4 atoms:
Pt 0.2500 0.2500 0.2500  6 Ni 2.68, 6 Pt 2.69
Ni 0.0028 0.0028 0.0028  3 Tc 2.56, 3 Pt 2.68, 6 Ni 2.69
Ni 0.4972 0.4972 0.4972  3 Tc 2.56, 3 Pt 2.68, 6 Ni 2.69
Tc 0.7500 0.7500 0.7500  6 Ni 2.56, 6 Tc 2.69

[9]
This record from the Alexandria database describes crystalline CoTc2Os at its relaxed geometry. The functional is PBE-GGA.

Computed properties:
Relative energy among the computed polymorphs in meV per atom: 156
E_form in kcal/mol of atoms: 2.7

Lattice parameters (Å, degrees): 4.6543 4.6543 4.5953 80.50 80.50 33.65
With the nearest neighbours (Å) after each atom.
Fractional coordinates of all 4 atoms:
Tc 0.5008 0.5008 0.4969  6 Tc 2.64-2.69, 3 Co 2.68, 3 Os 2.68-2.70
Tc 0.9992 0.9992 0.0031  6 Tc 2.64-2.69, 3 Co 2.68, 3 Os 2.68-2.70
Co 0.2500 0.2500 0.2500  4 Os 2.66, 6 Tc 2.68, 2 Co 2.69
Os 0.7500 0.7500 0.7500  4 Co 2.66, 6 Tc 2.68-2.70, 2 Os 2.69

[10]
This record from the Alexandria database describes crystalline NbVIr3 at its relaxed geometry. The functional is PBE-GGA.

Computed properties:
Relative energy among the computed polymorphs in meV per atom: 1423
E_form in kcal/mol of atoms: 23.0

Lattice parameters (Å, degrees): 4.4987 4.4987 4.4987 90.00 90.00 90.00
With the nearest neighbours (Å) after each atom.
Fractional coordinates of all 5 atoms:
Ir 0.5000 0.0000 0.0000  2 V 2.25
Ir 0.0000 0.5000 0.0000  2 V 2.25
Ir 0.0000 0.0000 0.5000  2 V 2.25
V 0.0000 0.0000 0.0000  6 Ir 2.25
Nb 0.5000 0.5000 0.5000  12 Ir 3.18

[11]
This record from the Alexandria database describes crystalline CaZnPb at its relaxed geometry. The functional is PBE-GGA.

Computed properties:
E_form in kcal/mol of atoms: -5.8

Lattice parameters (Å, degrees): 4.7767 4.5875 7.5977 71.94 90.00 89.99
With the nearest neighbours (Å) after each atom.
Fractional coordinates of all 6 atoms:
Pb 0.7187 0.3643 0.5062  3 Zn 3.13-3.36, 2 Pb 3.28-3.29, 4 Ca 3.30-3.36
Pb 0.7186 0.0291 0.1804  3 Zn 3.13-3.36, 2 Pb 3.28-3.29, 4 Ca 3.30-3.36
Zn 0.1300 0.1967 0.8434  2 Zn 2.95-2.96, 2 Pb 3.13, 4 Ca 3.14-3.18
Zn 0.7403 0.6971 0.8433  2 Zn 2.95-2.96, 4 Ca 3.15-3.24
Ca 0.2272 0.5513 0.1366  4 Zn 3.14-3.24, 4 Pb 3.30-3.36
Ca 0.2272 0.8419 0.5500  4 Zn 3.14-3.24, 4 Pb 3.30-3.36

[12]
This record from the Alexandria database describes crystalline LiMg2Tl4 at its relaxed geometry. The functional is PBE-GGA.

Computed properties:
Relative energy among the computed polymorphs in meV per atom: 0
E_form in kcal/mol of atoms: -1.0

Lattice parameters (Å, degrees): 5.1401 5.1506 15.6936 90.00 90.00 119.93
With the nearest neighbours (Å) after each atom.
Fractional coordinates of all 14 atoms:
Tl 0.5000 0.0000 0.5000  6 Mg 3.11
Tl 0.1651 0.3302 0.2500  3 Li 2.97, 2 Mg 3.01
Tl 0.8328 0.6657 0.3561  4 Mg 3.18-3.27, 4 Tl 3.33-3.41, 3 Li 3.40-3.42
Tl 0.8349 0.6698 0.7500  3 Li 2.97, 2 Mg 3.01
Tl 0.8328 0.6657 0.1439  4 Mg 3.18-3.27, 4 Tl 3.33-3.41, 3 Li 3.40-3.42
Tl 0.5000 0.0000 0.0000  6 Mg 3.11
Tl 0.1672 0.3343 0.6439  4 Mg 3.18-3.27, 4 Tl 3.33-3.41, 3 Li 3.40-3.42
Tl 0.1672 0.3343 0.8561  4 Mg 3.18-3.27, 4 Tl 3.33-3.41, 3 Li 3.40-3.42
Mg 0.8332 0.6664 0.5585  8 Tl 3.01-3.27
Mg 0.1668 0.3336 0.0585  8 Tl 3.01-3.27
Mg 0.1668 0.3336 0.4415  8 Tl 3.01-3.27
Mg 0.8332 0.6664 0.9415  8 Tl 3.01-3.27
Li 0.4978 0.9956 0.2500  3 Tl 2.97
Li 0.5022 0.0044 0.7500  3 Tl 2.97

| no. | total magnetic moment (μB per atom) |
| --- | --- |
| 1 | 0.08 |
| 2 | 0.00 |
| 3 | 0.00 |
| 4 | 0.00 |
| 5 | 0.32 |
| 6 | 0.00 |
| 7 | 0.00 |
| 8 | 0.00 |
| 9 | 0.00 |
| 10 | 0.22 |
| 11 | 0.00 |
| 12 | 0.00 |